A plane-wave DFT calculation with GGA-PBE was carried out for a relaxed structure of Tl5In6Hg2.

Calculated values
Symmetry: P-1 (2)
DFT formation energy: 0.01 eV/atom

Geometry as POSCAR:
```
Tl5In6Hg2
1.0
6.306 0.000 0.000
1.576 8.257 0.000
2.999 3.653 7.139
Tl In Hg
5 6 2
direct
0.000 0.000 0.000
0.232 0.437 0.627
0.365 0.778 0.689
0.635 0.222 0.311
0.768 0.563 0.373
0.075 0.169 0.512
0.325 0.617 0.152
0.435 0.944 0.222
0.565 0.056 0.778
0.675 0.383 0.848
0.925 0.831 0.488
0.162 0.327 0.071
0.838 0.673 0.929
```